Entry 1:
Entry from Alexandria via LeMat-Bulk: a geometry-optimized MgReNi6 structure (GGA-PBEsol).

a b c (Å): 6.1844 6.1844 10.0946
angles (deg): 90.00 90.00 109.30
Fractional coordinates of all 32 atoms:
Mg 0.0000 0.0000 0.2495
Mg 0.0000 0.0000 0.7505
Mg 0.2484 0.7516 0.0000
Mg 0.7516 0.2484 0.0000
Re 0.2448 0.7552 0.5000
Re 0.5000 0.5000 0.2420
Re 0.5000 0.5000 0.7580
Re 0.7552 0.2448 0.5000
Ni 0.0000 0.0000 0.0000
Ni 0.0000 0.0000 0.5000
Ni 0.1296 0.3842 0.3780
Ni 0.1296 0.3842 0.6220
Ni 0.1316 0.3786 0.1281
Ni 0.1316 0.3786 0.8719
Ni 0.2535 0.7465 0.2568
Ni 0.2535 0.7465 0.7432
Ni 0.3786 0.1316 0.1281
Ni 0.3786 0.1316 0.8719
Ni 0.3842 0.1296 0.3780
Ni 0.3842 0.1296 0.6220
Ni 0.5000 0.5000 0.0000
Ni 0.5000 0.5000 0.5000
Ni 0.6158 0.8704 0.3780
Ni 0.6158 0.8704 0.6220
Ni 0.6214 0.8684 0.1281
Ni 0.6214 0.8684 0.8719
Ni 0.7465 0.2535 0.2568
Ni 0.7465 0.2535 0.7432
Ni 0.8684 0.6214 0.1281
Ni 0.8684 0.6214 0.8719
Ni 0.8704 0.6158 0.3780
Ni 0.8704 0.6158 0.6220

## Properties
Formation energy from the elements   -0.0587 eV per atom

=====

Entry 2:
Entry from Alexandria via LeMat-Bulk: a geometry-optimized MgRe2Ni structure (GGA-PBEsol).

a b c (Å): 2.6048 4.4179 4.9830
angles (deg): 90.00 101.65 90.00
Fractional coordinates of all 4 atoms:
Mg 0.0000 0.0000 0.0000
Re 0.2894 0.5000 0.7485
Re 0.7106 0.5000 0.2515
Ni 0.5000 0.0000 0.5000

## Properties
Formation energy from the elements   0.2769 eV per atom

=====

Entry 3:
Entry from Alexandria via LeMat-Bulk: a geometry-optimized Mg2ReNi structure (GGA-PBEsol).

a b c (Å): 5.5483 5.5483 5.5483
angles (deg): 151.73 130.55 57.94
Fractional coordinates of all 4 atoms:
Mg 0.0000 0.0000 0.0000
Mg 0.7095 0.2095 0.5000
Re 0.4412 0.4412 0.0000
Ni 0.2311 0.7311 0.5000

## Properties
Formation energy from the elements   0.2706 eV per atom

=====

Going through the records in order, we get total DFT energy (no corrections) values of -6.56; -8.36; -5.46 eV/atom.